SbRuRh2 | Alexandria via LeMat-Bulk | PBE | optimized geometry; ΔE_f (raw) = 0.170 eV/atom; VASP energy = -6.8553 eV/atom; magnetic moment = 0.0 Bohr magnetons per cell
1.0
2.9788 0.0000 0.0000
0.0000 2.9788 0.0000
0.0000 0.0000 7.1580
Sb Ru Rh
1 1 2
Direct
0.0000 0.0000 0.0000
0.5000 0.5000 0.7398
0.0000 0.0000 0.5075
0.5000 0.5000 0.2452